The following is a DFT calculation (GGA+U) of Zn2MoClF after structural relaxation.

## Properties
SG: P4/mmm
Spin magnetization: 3.89 Bohr magnetons per cell
Total DFT energy (no corrections): -2.97 eV per atom

a = 5.445 Å, b = 4.184 Å, c = 5.445 Å
α = 90.00°, β = 90.00°, γ = 90.00°
Element x y z (fractional)
Cl: 0.500 0.500 0.500
Zn: 0.500 0.000 0.000
Zn: 0.000 0.000 0.500
Mo: 0.000 0.000 0.000
F: 0.000 0.500 0.000